Record 1
ThSc5Al4 | Alexandria via LeMat-Bulk | GGA-PBE | optimized geometry; magnetic moment = 0.0 Bohr magnetons per cell; energy relative to the elements = -343 kJ/mol of formula units; crystal system = tetragonal
1.0
3.384 0.000 0.000
0.000 3.384 0.000
0.000 0.000 18.364
Th Sc Al
1 5 4
Cartesian
0.000 0.000 0.000
1.692 1.692 2.399
1.692 1.692 5.820
1.692 1.692 9.182
1.692 1.692 12.544
1.692 1.692 15.965
0.000 0.000 4.107
0.000 0.000 7.501
0.000 0.000 10.863
0.000 0.000 14.258

***

Record 2
HoPI | Alexandria via LeMat-Bulk | GGA-PBE | optimized geometry; magnetic moment = 0.0 Bohr magnetons per cell; energy above the most stable polymorph in this dataset = 170.8 meV per atom; uncorrected formation energy = -1.019 eV per atom; crystal system = monoclinic
1.0
15.952 0.000 0.000
0.000 4.021 0.000
-2.692 0.000 7.099
Ho P I
4 4 4
Cartesian
-0.463 0.000 1.581
5.747 2.010 5.518
7.512 2.010 1.581
13.723 0.000 5.518
1.036 2.010 0.485
4.248 0.000 6.614
9.012 0.000 0.485
12.224 2.010 6.614
0.596 0.000 4.397
4.688 2.010 2.701
8.572 2.010 4.397
12.664 0.000 2.701

***

Record 3
RbFeCl6 | Alexandria via LeMat-Bulk | GGA-PBE | optimized geometry; magnetic moment = 6.0 Bohr magnetons per cell; uncorrected formation energy = -0.820 eV per atom; crystal system = monoclinic
1.0
10.660 0.000 0.000
0.000 7.128 0.000
-4.618 0.000 6.316
Rb Fe Cl
2 2 12
Cartesian
0.000 0.000 0.000
5.330 3.564 0.000
-2.309 3.564 3.158
3.021 0.000 3.158
-2.006 1.955 4.729
-2.006 5.173 4.729
-0.135 3.564 2.748
0.847 0.000 3.569
2.719 1.609 1.587
2.719 5.519 1.587
3.324 1.609 4.729
3.324 5.519 4.729
5.195 0.000 2.748
6.177 3.564 3.569
8.049 1.955 1.587
8.049 5.173 1.587

***

Record 4
Cs2Ba2O3 | Alexandria via LeMat-Bulk | GGA-PBE | optimized geometry; magnetic moment = 0.0 Bohr magnetons per cell; energy above the most stable polymorph in this dataset = 28.5 meV per atom; uncorrected formation energy = -1.782 eV per atom; crystal system = monoclinic
1.0
8.312 0.000 0.000
0.000 7.046 0.000
-3.147 0.000 6.821
Cs Ba O
4 4 6
Cartesian
0.275 0.937 1.660
-1.298 2.586 5.071
6.463 4.460 1.750
4.889 6.109 5.160
2.676 4.808 2.024
1.103 5.761 5.434
4.062 1.285 1.387
2.489 2.238 4.797
-0.728 0.032 6.574
0.845 3.491 3.164
2.582 0.000 3.410
4.156 3.523 0.000
4.320 3.555 3.656
5.893 7.014 0.246

***

Record 5
Pm3Al2Si2 | Alexandria via LeMat-Bulk | GGA-PBE | optimized geometry; magnetic moment = 1.3 Bohr magnetons per cell; uncorrected formation energy = -0.659 eV per atom; crystal system = orthorhombic
1.0
4.057 0.000 0.000
0.000 4.370 0.000
0.000 0.000 18.718
Pm Al Si
6 4 4
Cartesian
0.000 0.000 0.000
0.000 2.185 5.856
0.000 2.185 12.862
2.029 0.000 3.503
2.029 0.000 15.215
2.029 2.185 9.359
0.000 0.000 8.095
0.000 0.000 10.623
2.029 2.185 1.264
2.029 2.185 17.454
0.000 2.185 2.716
0.000 2.185 16.002
2.029 0.000 6.643
2.029 0.000 12.075

***

Record 6
TcRh | Alexandria via LeMat-Bulk | GGA-PBE | optimized geometry; magnetic moment = 0.0 Bohr magnetons per cell; energy relative to the elements = -23 kJ/mol of formula units; energy above the most stable polymorph in this dataset = 54.3 meV per atom; crystal system = orthorhombic
1.0
2.747 0.000 0.000
0.000 4.340 0.000
0.000 0.000 4.786
Tc Rh
2 2
Cartesian
0.687 1.085 0.421
2.061 3.255 4.365
0.687 3.255 2.002
2.061 1.085 2.784

***

Record 7
Ho8TlPb5 | Alexandria via LeMat-Bulk | GGA-PBE | optimized geometry; magnetic moment = 0.0 Bohr magnetons per cell; energy relative to the elements = -635 kJ/mol of formula units; crystal system = tetragonal
1.0
-4.675 4.675 4.683
4.675 -4.675 4.683
4.675 4.675 -4.683
Ho Tl Pb
8 1 5
Cartesian
1.676 -0.668 1.843
4.026 1.688 -0.501
2.999 5.342 -2.841
2.987 -0.648 5.185
1.688 5.323 0.501
4.007 2.999 2.841
0.648 2.987 4.182
0.668 1.676 7.524
0.000 0.000 4.683
2.343 5.838 3.513
4.675 0.000 2.342
1.164 2.332 1.170
-2.343 3.511 3.513
-1.164 7.017 1.170

***

Record 8
Ba2CoRh | Alexandria via LeMat-Bulk | GGA-PBE | optimized geometry; magnetic moment = 2.4 Bohr magnetons per cell; energy relative to the elements = 23 kJ/mol of formula units; energy above the most stable polymorph in this dataset = 79.7 meV per atom; crystal system = orthorhombic
1.0
4.368 0.000 0.000
0.000 4.814 0.000
0.000 0.000 11.674
Ba Co Rh
4 2 2
Cartesian
0.000 0.000 0.000
0.000 2.407 5.837
2.184 0.000 3.304
2.184 2.407 9.141
0.000 0.000 7.936
0.000 2.407 2.098
2.184 0.000 7.044
2.184 2.407 1.206